First-principles (meta-GGA SCAN) data for a PBEsol-optimized structure of NaFe5O8, as listed in the Alexandria database.

Cell and atoms, written as extended XYZ:
```
14
Lattice="-0.543 3.218 -4.599 -0.260 -2.391 -5.100 -5.186 -0.007 -2.850" Properties=species:S:1:pos:R:3 pbc="T T T"
Na -2.995 0.410 -6.274
Fe -0.272 1.609 -2.299
Fe -3.392 0.096 -2.989
Fe -0.402 0.413 -4.849
Fe -2.597 0.723 -9.559
Fe -0.130 -1.196 -2.550
O -1.407 -0.930 -5.727
O -4.626 0.607 -9.400
O -1.363 0.212 -3.147
O -4.445 -0.964 -7.064
O -4.320 0.193 -4.597
O -4.582 1.749 -6.821
O -1.670 0.626 -7.951
O -1.544 1.783 -5.484
```

The volume comes out at 136 Å³/cell. The calculation puts the formation energy (no corrections) at -1588.5 meV per atom. Its energy above the most stable polymorph in this dataset is 0.031 eV/atom. Its magnetization is 0.929 μB per atom.